# 1
Ac2TmPt2, relaxed, DFT PBE; E_tot = -5.925 eV per atom
1.0
-4.126 5.741 3.248
4.126 -5.741 3.248
4.126 5.741 -3.248
Ac Tm Pt
4 2 4
Direct
0.153 0.141 0.294
0.347 0.641 0.988
0.653 0.359 0.012
0.847 0.859 0.706
0.250 0.750 0.500
0.750 0.250 0.500
0.099 0.753 0.852
0.401 0.253 0.654
0.599 0.747 0.346
0.901 0.247 0.148



# 2
AcTmPt2, relaxed, DFT PBE; E above lowest polymorph = 6 meV per atom; E_tot = -6.328 eV per atom
1.0
2.128 1.229 6.676
-2.128 1.229 6.676
0.000 -2.457 6.676
Ac Tm Pt
1 1 2
Direct
0.000 0.000 0.000
0.500 0.500 0.500
0.239 0.239 0.239
0.761 0.761 0.761



# 3
AcTmPt2, relaxed, DFT PBE; E above lowest polymorph = 55 meV per atom; E_tot = -6.280 eV per atom
1.0
3.601 0.000 0.000
0.000 3.601 0.000
0.000 0.000 7.277
Ac Tm Pt
1 1 2
Direct
0.000 0.000 0.000
0.000 0.000 0.500
0.500 0.500 0.287
0.500 0.500 0.713



# 4
AcTmPt2, relaxed, DFT PBE; E above lowest polymorph = 133 meV per atom; E_tot = -6.202 eV per atom
1.0
0.000 3.632 3.632
3.632 0.000 3.632
3.632 3.632 0.000
Ac Tm Pt
1 1 2
Direct
0.000 0.000 0.000
0.500 0.500 0.500
0.250 0.250 0.250
0.750 0.750 0.750



# 5
AcTmPt2, relaxed, DFT PBE; E above lowest polymorph = 115 meV per atom; E_tot = -6.220 eV per atom
1.0
2.079 1.200 7.110
-2.079 1.200 7.110
0.000 -2.401 7.110
Ac Tm Pt
1 1 2
Direct
0.000 0.000 0.000
0.827 0.827 0.827
0.237 0.237 0.237
0.423 0.423 0.423



# 6
AcTmZn2Pt2, relaxed, DFT PBE; E_tot = -4.780 eV per atom
1.0
4.522 0.000 0.000
-2.261 3.916 0.000
0.000 0.000 7.361
Ac Tm Zn Pt
1 1 2 2
Direct
0.000 0.000 0.000
0.000 0.000 0.500
0.333 0.667 0.702
0.667 0.333 0.298
0.333 0.667 0.292
0.667 0.333 0.708



# 7
Ac2U2Pt15, relaxed, DFT PBE; E_tot = -7.067 eV per atom
1.0
4.719 2.725 4.641
-4.719 2.725 4.641
0.000 -5.449 4.641
Ac U Pt
2 2 15
Direct
0.148 0.148 0.148
0.852 0.852 0.852
0.414 0.414 0.414
0.586 0.586 0.586
0.000 0.500 0.500
0.159 0.159 0.655
0.159 0.655 0.159
0.188 0.500 0.812
0.188 0.812 0.500
0.345 0.841 0.841
0.500 0.000 0.500
0.500 0.188 0.812
0.500 0.500 0.000
0.500 0.812 0.188
0.655 0.159 0.159
0.812 0.188 0.500
0.812 0.500 0.188
0.841 0.345 0.841
0.841 0.841 0.345



# 8
AcUPt2, relaxed, DFT PBE; E above lowest polymorph = 99 meV per atom; E_tot = -7.573 eV per atom
1.0
3.604 0.000 0.000
0.000 3.604 0.000
0.000 0.000 7.454
Ac U Pt
1 1 2
Direct
0.000 0.000 0.000
0.000 0.000 0.500
0.500 0.500 0.296
0.500 0.500 0.704



# 9
AcUPt4, relaxed, DFT PBE; E_tot = -7.338 eV per atom
1.0
0.000 3.926 3.926
3.926 0.000 3.926
3.926 3.926 0.000
Ac U Pt
1 1 4
Direct
0.000 0.000 0.000
0.250 0.250 0.250
0.127 0.624 0.624
0.624 0.127 0.624
0.624 0.624 0.127
0.624 0.624 0.624



# 10
AcUPt2, relaxed, DFT PBE; E above lowest polymorph = 0 meV per atom; E_tot = -7.673 eV per atom
1.0
2.125 1.227 6.829
-2.125 1.227 6.829
0.000 -2.453 6.829
Ac U Pt
1 1 2
Direct
0.000 0.000 0.000
0.500 0.500 0.500
0.239 0.239 0.239
0.761 0.761 0.761



# 11
AcVPt, relaxed, DFT PBE; E_tot = -6.626 eV per atom
1.0
3.406 -3.329 0.000
3.406 3.329 0.000
-0.063 0.000 6.851
Ac V Pt
2 2 2
Direct
0.244 0.244 0.166
0.756 0.756 0.834
0.209 0.209 0.634
0.791 0.791 0.366
0.286 0.714 0.500
0.714 0.286 0.500



# 12
Ac3V5Pt12, relaxed, DFT PBE; E_tot = -6.650 eV per atom
1.0
-7.833 7.833 7.833
7.833 -7.833 7.833
7.833 7.833 -7.833
Ac V Pt
12 20 48
Direct
0.125 0.250 0.375
0.125 0.375 0.750
0.250 0.375 0.125
0.250 0.875 0.625
0.375 0.125 0.250
0.375 0.750 0.125
0.625 0.250 0.875
0.625 0.875 0.750
0.750 0.125 0.375
0.750 0.625 0.875
0.875 0.625 0.250
0.875 0.750 0.625
0.000 0.000 0.000
0.000 0.000 0.500
0.000 0.500 0.000
0.000 0.500 0.500
0.125 0.750 0.875
0.125 0.875 0.250
0.250 0.125 0.875
0.250 0.625 0.375
0.375 0.250 0.625
0.375 0.625 0.750
0.500 0.000 0.000
0.500 0.000 0.500
0.500 0.500 0.000
0.500 0.500 0.500
0.625 0.375 0.250
0.625 0.750 0.375
0.750 0.375 0.625
0.750 0.875 0.125
0.875 0.125 0.750
0.875 0.250 0.125
0.013 0.695 0.063
0.013 0.818 0.950
0.050 0.563 0.867
0.050 0.987 0.182
0.063 0.013 0.695
0.063 0.550 0.367
0.133 0.682 0.695
0.133 0.950 0.437
0.182 0.050 0.987
0.182 0.633 0.195
0.195 0.182 0.633
0.195 0.513 0.563
0.305 0.867 0.318
0.305 0.937 0.987
0.318 0.305 0.867
0.318 0.513 0.450
0.367 0.063 0.550
0.367 0.805 0.818
0.437 0.133 0.950
0.437 0.805 0.487
0.450 0.318 0.513
0.450 0.633 0.937
0.487 0.437 0.805
0.487 0.550 0.682
0.513 0.450 0.318
0.513 0.563 0.195
0.550 0.367 0.063
0.550 0.682 0.487
0.563 0.195 0.513
0.563 0.867 0.050
0.633 0.195 0.182
0.633 0.937 0.450
0.682 0.487 0.550
0.682 0.695 0.133
0.695 0.063 0.013
0.695 0.133 0.682
0.805 0.487 0.437
0.805 0.818 0.367
0.818 0.367 0.805
0.818 0.950 0.013
0.867 0.050 0.563
0.867 0.318 0.305
0.937 0.450 0.633
0.937 0.987 0.305
0.950 0.013 0.818
0.950 0.437 0.133
0.987 0.182 0.050
0.987 0.305 0.937



Q: Among the records above, which one has the highest E_tot?
A: AcTmZn2Pt2



Q: Among the records above, which one has the lowest E_tot?
A: number 10



Repeat the fifth record exactly.
AcTmPt2, relaxed, DFT PBE; E above lowest polymorph = 115 meV per atom; E_tot = -6.220 eV per atom
1.0
2.079 1.200 7.110
-2.079 1.200 7.110
0.000 -2.401 7.110
Ac Tm Pt
1 1 2
Direct
0.000 0.000 0.000
0.827 0.827 0.827
0.237 0.237 0.237
0.423 0.423 0.423



Q: What is the formula in the first record?
A: Ac2TmPt2